Entry 1:
Entry from Alexandria via LeMat-Bulk: a relaxed ZrTaTl2W crystal (GGA-PBE).

The space group is P4/mmm (No. 123) and the conventional cell measures 5.478, 5.478 and 4.967 Å, with angles of 90.00, 90.00 and 90.00 degrees. Symmetry generates all atoms from Zr at (0.000, 0.000, 0.000), Ta at (0.000, 0.000, 0.500), Tl at (0.000, 0.500, 0.000) and W at (0.500, 0.500, 0.500).

As for the formation energy: 2.168 eV per atom. The value obtained for the spin magnetization is 3.76 Bohr magnetons per cell.



Entry 2:
Entry from Alexandria via LeMat-Bulk: a relaxed Ho5BiAu2 crystal (GGA-PBE).

The space group is I4/mcm (No. 140) and the conventional cell measures 8.105, 8.105 and 13.101 Å, with angles of 90.00, 90.00 and 90.00 degrees. Symmetry generates all atoms from Ho at (0.000, 0.000, 0.000), Ho at (0.154, 0.346, 0.141), Bi at (0.000, 0.000, 0.250) and Au at (0.139, 0.361, 0.500).

As for the formation energy: -0.694 eV per atom. The value obtained for the spin magnetization is 0.00 Bohr magnetons per cell.



Entry 3:
Entry from Alexandria via LeMat-Bulk: a relaxed BePbAu2 crystal (GGA-PBE).

The space group is Cmmm (No. 65) and the conventional cell measures 5.627, 7.460 and 3.738 Å, with angles of 90.00, 90.00 and 90.00 degrees. Symmetry generates all atoms from Be at (0.000, 0.000, 0.000), Pb at (0.000, 0.500, 0.000) and Au at (0.250, 0.250, 0.500).

Its excess energy over the best structure of this formula in the dataset is 1.35 eV/f.u. As for the formation energy: 0.314 eV per atom. The value obtained for the spin magnetization is 0.00 Bohr magnetons per cell.



Entry 4:
Entry from Alexandria via LeMat-Bulk: a relaxed LaHf2ScIn crystal (GGA-PBE).

The space group is P4/mmm (No. 123) and the conventional cell measures 5.217, 5.217 and 5.093 Å, with angles of 90.00, 90.00 and 90.00 degrees. Symmetry generates all atoms from La at (0.000, 0.000, 0.000), Hf at (0.000, 0.500, 0.000), Sc at (0.000, 0.000, 0.500) and In at (0.500, 0.500, 0.500).

As for the formation energy: 1.224 eV per atom. The value obtained for the spin magnetization is 0.00 Bohr magnetons per cell.